## CaPdO (PBE)

Data for crystalline CaPdO at its relaxed geometry.

Results
- Total magnetization: 0.000 μB/cell
- E_form (uncorrected): -1567 meV per atom

Cell: 4.6324 3.5110 6.4254 Å, 90.00 110.58 90.00°
Last column: nearest neighbours and their distance in Å.
Space group P2_1/m (No. 11)
Symmetry-distinct sites (fractional):
1 Ca 0.1717 0.2500 0.3397 x2  4 O 2.34-2.35
2 Pd 0.4217 0.2500 0.8473 x2  2 O 2.30, 2 Pd 2.54
3 O 0.2982 0.7500 0.5995 x2  2 Pd 2.30, 4 Ca 2.34-2.35